NaCuSeBr2 | Alexandria | PBE-GGA | relaxed; formation energy without anion corrections = -2.0 eV per formula unit; ΔE to the lowest computed polymorph = 0.0 meV/atom; E = -2.841 eV per atom
1.0
-0.4754 -4.6019 2.5641
4.6999 -1.5335 -1.8809
2.1294 1.8874 3.7821
Na Cu Se Br
1 1 1 2
Cartesian
3.1770 -2.1240 2.2327
0.0000 0.0000 0.0000
1.0647 0.9437 1.8911
2.3500 -0.7667 -0.9404
-0.2377 -2.3010 1.2821